Density functional theory data (PBE) for CsZnBiH2 after structural relaxation.

Summary:
The calculation puts the size of the total moment at 0.00 μB/f.u. The value obtained for the total energy is -2.244 eV/atom. The calculation puts the density of states at the Fermi level at 1.46 states/eV/cell. The space group is No. 123. Its calculated volume is 128 Å³/f.u.

Cell: 4.7578 4.7578 5.6726 Å, 90.00 90.00 90.00°
With the nearest neighbours (Å) after each atom.
Fractional coordinates of all 5 atoms:
Cs: 0.0000 0.0000 0.0000  4 Zn 3.36, 8 H 3.70
Zn: 0.5000 0.5000 0.0000  2 Bi 2.84
Bi: 0.5000 0.5000 0.5000  4 H 2.38
H: 0.0000 0.5000 0.5000  2 Bi 2.38
H: 0.5000 0.0000 0.5000  2 Bi 2.38